Record 1
The following is a DFT calculation (meta-GGA SCAN) of a crystal of CsInSbTe2 relaxed with PBEsol.

```
CsInSbTe2
1.0
5.840 0.000 0.000
0.000 5.840 0.000
0.000 0.000 5.551
Cs In Sb Te
1 1 1 2
direct
0.000 0.000 0.000 Cs
0.500 0.500 0.500 In
0.500 0.500 0.000 Sb
0.000 0.500 0.500 Te
0.500 0.000 0.500 Te
```

Calculated values
As for the space-group type: P4/mmm (123). For the formation energy (no corrections), the calculation gives -0.09 eV per atom.


Record 2
The following is a DFT calculation (meta-GGA SCAN) of a crystal of CsSc2In relaxed with PBEsol.

```
CsSc2In
1.0
1.709 0.986 11.405
-1.709 0.986 11.405
0.000 -1.973 11.405
Cs Sc In
1 2 1
direct
0.000 0.000 0.000 Cs
0.100 0.100 0.100 Sc
0.900 0.900 0.900 Sc
0.500 0.500 0.500 In
```

Calculated values
As for the space-group type: R-3m (166). Its formation energy is 205.7 meV/atom.


Record 3
The following is a DFT calculation (meta-GGA SCAN) of a crystal of CsSc3In relaxed with PBEsol.

```
CsSc3In
1.0
5.168 0.000 0.000
0.000 5.168 0.000
0.000 0.000 5.168
Cs Sc In
1 3 1
direct
0.000 0.000 0.000 Cs
0.000 0.000 0.500 Sc
0.000 0.500 0.000 Sc
0.500 0.000 0.000 Sc
0.500 0.500 0.500 In
```

Calculated values
As for the space-group type: Pm-3m (221). Its formation energy is 1303.3 meV/atom.


Record 4
The following is a DFT calculation (meta-GGA SCAN) of a crystal of Cs3InSi relaxed with PBEsol.

```
Cs3InSi
1.0
7.014 0.000 0.000
0.000 7.014 0.000
0.000 0.000 7.014
Cs In Si
3 1 1
direct
0.000 0.000 0.500 Cs
0.000 0.500 0.000 Cs
0.500 0.000 0.000 Cs
0.000 0.000 0.000 In
0.500 0.500 0.500 Si
```

Calculated values
As for the space-group type: Pm-3m (221). For the formation energy (no corrections), the calculation gives 0.62 eV per atom.